Density functional theory data (PBE+U) for a geometry-optimized Li5V2Ni5O12 structure.

Output
Symmetry   No. 5
DFT total energy   -5.67 eV per atom

a b c (Å): 5.144 5.144 9.796
angles (deg): 84.61 95.39 58.63
Each line ends with the local moment (μB).
Element x y z (fractional)
Li1 0.166 0.674 0.503  0.00
O1 0.511 0.291 0.635  0.05
O2 0.291 0.511 0.865  0.05
V1 0.751 0.751 0.250  1.05
Ni1 0.997 0.506 0.997  1.78
O3 0.109 0.394 0.365  0.07
Li2 0.833 0.327 0.502  0.00
O4 0.475 0.713 0.371  0.10
O5 0.217 0.981 0.633  0.07
Ni2 0.580 0.580 0.750  1.75
Ni3 0.421 0.421 0.250  1.76
Li3 0.674 0.166 0.997  0.00
O6 0.981 0.217 0.867  0.07
Li4 0.918 0.918 0.750  0.00
O7 0.598 0.893 0.865  0.06
O8 0.027 0.789 0.128  0.09
V2 0.250 0.250 0.750  0.08
Ni4 0.506 0.997 0.503  1.78
Li5 0.327 0.833 0.998  0.00
Ni5 0.081 0.081 0.250  1.75
O9 0.394 0.109 0.135  0.07
O10 0.893 0.598 0.635  0.06
O11 0.789 0.027 0.372  0.09
O12 0.713 0.475 0.129  0.10